1.
# K2AlCu

A PBEsol-optimized structure of K2AlCu (SCAN, Alexandria).

Structure (POSCAR):
```
K2AlCu
1.0
-3.6323 -1.7663 -1.5757
-0.4783 -2.3197 3.7031
-3.2537 4.5504 2.4303
K Cu Al
2 1 1
direct
0.9989 0.0000 0.7406
0.0011 0.0000 0.2594
0.5000 0.5000 0.5000
0.5000 0.5000 0.0000
```

- Calculated volume: 116 Å³/cell
- Energy relative to the elements: 0.572 eV/atom

=====

2.
# ZrTaMn2

A PBEsol-optimized structure of ZrTaMn2 (SCAN, Alexandria).

Structure (POSCAR):
```
ZrTaMn2
1.0
3.0682 0.0000 0.0000
0.0000 4.3582 0.0000
0.0000 0.0000 4.3582
Mn Zr Ta
2 1 1
direct
0.0000 0.0000 0.5000
0.0000 0.5000 0.0000
0.5000 0.0000 0.0000
0.5000 0.5000 0.5000
```

- Calculated volume: 58 Å³/cell
- Energy relative to the elements: -0.145 eV/atom

=====

3.
# MoOs3

A PBEsol-optimized structure of MoOs3 (SCAN, Alexandria).

Structure (POSCAR):
```
MoOs3
1.0
3.8359 0.0000 0.0000
0.0000 3.8359 0.0000
-1.9179 -1.9179 3.8802
Mo Os
1 3
direct
0.0000 0.0000 0.0000
0.7500 0.2500 0.5000
0.2500 0.7500 0.5000
0.5000 0.5000 0.0000
```

- Calculated volume: 57 Å³/cell
- Energy relative to the elements: 0.050 eV/atom

=====

4.
# AsPbSe2N

A PBEsol-optimized structure of AsPbSe2N (SCAN, Alexandria).

Structure (POSCAR):
```
AsPbSe2N
1.0
4.1181 0.0000 0.0000
0.0000 5.3944 0.0000
0.0000 0.0000 5.3944
Se Pb N As
2 1 1 1
direct
0.0000 0.0000 0.5000
0.0000 0.5000 0.0000
0.0000 0.0000 0.0000
0.5000 0.0000 0.0000
0.5000 0.5000 0.5000
```

- Calculated volume: 120 Å³/cell
- Formation energy without anion corrections: 1.3337 eV/atom

=====

5.
# BaFeOs2

A PBEsol-optimized structure of BaFeOs2 (SCAN, Alexandria).

Structure (POSCAR):
```
BaFeOs2
1.0
4.2338 0.0000 0.0000
2.1169 3.6665 0.0000
2.1169 1.2222 5.8439
Fe Os Ba
1 2 1
direct
0.5000 0.5000 0.5000
0.8137 0.8137 0.5588
0.1863 0.1863 0.4412
0.0000 0.0000 0.0000
```

- Energy above the lowest structure with this stoichiometry: 0.0 meV per atom
- Calculated volume: 91 Å³/cell
- Energy relative to the elements: 0.309 eV/atom

=====

6.
# BaBe2Pb

A PBEsol-optimized structure of BaBe2Pb (SCAN, Alexandria).

Structure (POSCAR):
```
BaBe2Pb
1.0
-0.4940 1.9548 -2.5985
-2.1896 -2.1431 -1.1959
-5.7625 3.7161 3.8910
Be Ba Pb
2 1 1
direct
0.0000 0.0000 0.1001
0.5000 0.5000 0.1834
0.5000 0.5000 0.7884
0.0000 0.0000 0.4281
```

- Calculated volume: 85 Å³/cell
- Energy relative to the elements: 0.388 eV/atom

=====

7.
# NiSe2

A PBEsol-optimized structure of NiSe2 (SCAN, Alexandria).

Structure (POSCAR):
```
NiSe2
1.0
2.8651 0.0000 0.0000
0.0000 2.8651 0.0000
-1.4325 -1.4325 12.6233
Ni Se
2 4
direct
0.0000 0.0000 0.0000
0.2500 0.7500 0.5000
0.6864 0.1863 0.3727
0.5636 0.5636 0.1273
0.4364 0.4364 0.8727
0.8136 0.3136 0.6273
```

- Calculated volume: 104 Å³/cell
- Formation energy without anion corrections: 0.2340 eV/atom

=====

8.
# CsZrBeGa2

A PBEsol-optimized structure of CsZrBeGa2 (SCAN, Alexandria).

Structure (POSCAR):
```
CsZrBeGa2
1.0
5.1639 0.0000 0.0000
0.0000 5.3812 0.0000
0.0000 0.0000 5.3812
Zr Ga Cs Be
1 2 1 1
direct
0.0000 0.0000 0.0000
0.0000 0.0000 0.5000
0.0000 0.5000 0.0000
0.5000 0.5000 0.5000
0.5000 0.0000 0.0000
```

- Calculated volume: 150 Å³/cell
- Energy relative to the elements: 0.641 eV/atom

=====

9.
# Tl2As

A PBEsol-optimized structure of Tl2As (SCAN, Alexandria).

Structure (POSCAR):
```
Tl2As
1.0
3.2863 0.0000 0.0000
0.0000 6.7175 -0.0139
-1.6431 -1.8570 7.1980
Tl As
4 2
direct
0.3346 0.8978 0.6692
0.3671 0.4265 0.7343
0.6654 0.1022 0.3308
0.6329 0.5735 0.2657
0.9976 0.1935 0.9951
0.0024 0.8065 0.0049
```

- Energy above the lowest structure with this stoichiometry: 50.2 meV per atom
- Calculated volume: 159 Å³/cell
- Energy relative to the elements: 0.093 eV/atom

=====

10.
# DyCu3Te3

A PBEsol-optimized structure of DyCu3Te3 (SCAN, Alexandria).

Structure (POSCAR):
```
DyCu3Te3
1.0
-3.0142 4.4403 -4.9446
-7.2385 0.9127 -0.1526
-2.8469 7.0419 2.6744
Cu Te Dy
6 6 2
direct
0.3551 0.0205 0.8772
0.2528 0.6449 0.1228
0.7472 0.3551 0.8772
0.0205 0.7472 0.8772
0.9795 0.2528 0.1228
0.6449 0.9795 0.1228
0.7247 0.1045 0.7450
0.5742 0.2753 0.2550
0.2753 0.8955 0.2550
0.4258 0.7247 0.7450
0.8955 0.5742 0.2550
0.1045 0.4258 0.7450
0.8368 0.8368 0.4897
0.1632 0.1632 0.5103
```

- Calculated volume: 316 Å³/cell
- Formation energy without anion corrections: -0.5500 eV/atom

=====

11.
# MgZrHg2

A PBEsol-optimized structure of MgZrHg2 (SCAN, Alexandria).

Structure (POSCAR):
```
MgZrHg2
1.0
3.1728 0.0000 0.0000
0.0000 4.6107 0.0000
-1.5864 0.0000 5.6967
Hg Zr Mg
2 1 1
direct
0.8234 0.0000 0.6468
0.6641 0.5000 0.3281
0.4117 0.5000 0.8233
0.0818 0.0000 0.1636
```

- Calculated volume: 83 Å³/cell
- Energy relative to the elements: -0.309 eV/atom

=====

12.
# RbTe2IO

A PBEsol-optimized structure of RbTe2IO (SCAN, Alexandria).

Structure (POSCAR):
```
RbTe2IO
1.0
4.6001 0.0000 0.0000
0.0000 4.6001 0.0000
0.0000 0.0000 7.2388
Te O Rb I
2 1 1 1
direct
0.0000 0.5000 0.0000
0.5000 0.0000 0.0000
0.0000 0.0000 0.0000
0.5000 0.5000 0.5000
0.0000 0.0000 0.5000
```

- Calculated volume: 153 Å³/cell
- Formation energy without anion corrections: -0.3952 eV/atom

=====

13.
# CsNaGe3

A PBEsol-optimized structure of CsNaGe3 (SCAN, Alexandria).

Structure (POSCAR):
```
CsNaGe3
1.0
-4.0460 -0.8275 -3.2818
0.4941 -5.2044 0.7032
-3.3483 0.2320 4.0694
Na Ge Cs
1 3 1
direct
0.0000 0.0000 0.0000
0.0000 0.5000 0.0000
0.0000 0.0000 0.5000
0.5000 0.0000 0.0000
0.5000 0.5000 0.5000
```

- Calculated volume: 147 Å³/cell
- Energy relative to the elements: 0.784 eV/atom

=====

14.
# BaCu2Hg2O4

A PBEsol-optimized structure of BaCu2Hg2O4 (SCAN, Alexandria).

Structure (POSCAR):
```
BaCu2Hg2O4
1.0
-2.7771 5.8149 0.5134
-4.3070 -2.4716 4.6955
4.4200 1.6751 4.9361
O Cu Ba Hg
8 4 2 4
direct
0.2250 0.2883 0.7883
0.2250 0.2117 0.2883
0.2250 0.7883 0.7117
0.7750 0.2117 0.7117
0.7750 0.7117 0.7883
0.7750 0.2883 0.2117
0.2250 0.7117 0.2117
0.7750 0.7883 0.2883
0.5000 0.2500 0.7500
0.5000 0.7500 0.2500
0.5000 0.2500 0.2500
0.5000 0.7500 0.7500
0.0000 0.0000 0.0000
0.0000 0.5000 0.5000
0.2401 0.5000 0.0000
0.2401 0.0000 0.5000
0.7599 0.5000 0.0000
0.7599 0.0000 0.5000
```

- Calculated volume: 302 Å³/cell
- Formation energy without anion corrections: -1.0351 eV/atom

=====

15.
# Ca2Zn2Pb

A PBEsol-optimized structure of Ca2Zn2Pb (SCAN, Alexandria).

Structure (POSCAR):
```
Ca2Zn2Pb
1.0
-2.4819 -1.2827 -2.3161
1.6463 -3.2339 0.0268
-5.0333 -0.4557 8.4889
Ca Zn Pb
2 2 1
direct
0.3885 0.3885 0.7769
0.6115 0.6115 0.2231
0.2500 0.7500 0.5000
0.7500 0.2500 0.5000
0.0000 0.0000 0.0000
```

- Energy above the lowest structure with this stoichiometry: 81.6 meV per atom
- Calculated volume: 126 Å³/cell
- Energy relative to the elements: -0.325 eV/atom

=====

16.
# AgAsPbSe2

A PBEsol-optimized structure of AgAsPbSe2 (SCAN, Alexandria).

Structure (POSCAR):
```
AgAsPbSe2
1.0
4.8460 0.0000 0.0000
0.0000 5.0856 0.0000
0.0000 0.0000 5.0856
Pb As Ag Se
1 1 1 2
direct
0.5000 0.5000 0.5000
0.5000 0.0000 0.0000
0.0000 0.0000 0.0000
0.0000 0.0000 0.5000
0.0000 0.5000 0.0000
```

- Energy above the lowest structure with this stoichiometry: 0.0 meV per atom
- Calculated volume: 125 Å³/cell
- Formation energy without anion corrections: 0.4093 eV/atom

=====

17.
# TiSbI2

A PBEsol-optimized structure of TiSbI2 (SCAN, Alexandria).

Structure (POSCAR):
```
TiSbI2
1.0
5.1675 0.0000 0.0000
2.5837 4.4752 0.0000
2.5837 1.4917 4.2192
Ti Sb I
1 1 2
direct
0.0000 0.0000 0.0000
0.5000 0.5000 0.5000
0.2500 0.2500 0.2500
0.7500 0.7500 0.7500
```

- Calculated volume: 98 Å³/cell
- Formation energy without anion corrections: 0.4431 eV/atom

=====

18.
# CoH2Au2

A PBEsol-optimized structure of CoH2Au2 (SCAN, Alexandria).

Structure (POSCAR):
```
CoH2Au2
1.0
-0.4315 -2.2788 -1.7837
0.5281 -1.8352 2.2167
-6.0386 2.0674 1.2192
H Au Co
2 2 1
direct
0.7500 0.2500 0.5000
0.2500 0.7500 0.5000
0.3628 0.3628 0.7257
0.6372 0.6372 0.2743
0.0000 0.0000 0.0000
```

- Calculated volume: 53 Å³/cell
- VASP energy: -32.0783 eV per atom

=====

19.
# LiOs2Au

A PBEsol-optimized structure of LiOs2Au (SCAN, Alexandria).

Structure (POSCAR):
```
LiOs2Au
1.0
-2.5090 -0.2810 -0.9201
0.5708 -4.9723 -0.0379
-1.7368 2.2889 4.0370
Os Au Li
2 1 1
direct
0.0000 0.5000 0.5000
0.0000 0.0000 0.5000
0.5000 0.0000 0.0000
0.5000 0.5000 0.0000
```

- Energy above the lowest structure with this stoichiometry: 335.4 meV per atom
- Calculated volume: 58 Å³/cell
- Energy relative to the elements: 0.489 eV/atom

=====

20.
# MnAsSeBr2

A PBEsol-optimized structure of MnAsSeBr2 (SCAN, Alexandria).

Structure (POSCAR):
```
MnAsSeBr2
1.0
5.1794 0.0000 0.0000
0.0000 5.1794 0.0000
0.0000 0.0000 5.0834
Br Se As Mn
2 1 1 1
direct
0.5000 0.0000 0.0000
0.0000 0.5000 0.0000
0.0000 0.0000 0.5000
0.0000 0.0000 0.0000
0.5000 0.5000 0.5000
```

- Calculated volume: 136 Å³/cell
- Formation energy without anion corrections: 0.0931 eV/atom

=====

21.
# FeTc5

A PBEsol-optimized structure of FeTc5 (SCAN, Alexandria).

Structure (POSCAR):
```
FeTc5
1.0
-1.7041 1.6124 -1.3053
-2.9485 -0.6772 3.0128
3.2673 4.6536 4.2436
Fe Tc
1 5
direct
0.9985 0.0000 0.9970
0.4477 0.5000 0.8954
0.3390 0.0000 0.6780
0.6623 0.0000 0.3246
0.1088 0.5000 0.2175
0.7770 0.5000 0.5541
```

- Energy above the lowest structure with this stoichiometry: 17.9 meV per atom
- Calculated volume: 80 Å³/cell
- Energy relative to the elements: 0.099 eV/atom

=====

22.
# LaMgBi3

A PBEsol-optimized structure of LaMgBi3 (SCAN, Alexandria).

Structure (POSCAR):
```
LaMgBi3
1.0
-3.4462 3.8998 -1.5533
-1.7798 -3.1776 -4.0290
-3.8018 -2.0474 3.2942
Bi La Mg
3 1 1
direct
0.5000 0.0000 0.0000
0.0000 0.5000 0.0000
0.0000 0.0000 0.5000
0.5000 0.5000 0.5000
0.0000 0.0000 0.0000
```

- Calculated volume: 160 Å³/cell
- Energy relative to the elements: -0.125 eV/atom

=====

23.
# SrOsPb2

A PBEsol-optimized structure of SrOsPb2 (SCAN, Alexandria).

Structure (POSCAR):
```
SrOsPb2
1.0
3.4147 0.0000 0.0000
0.0000 3.4147 0.0000
0.0000 0.0000 8.1212
Sr Os Pb
1 1 2
direct
0.5000 0.5000 0.0000
0.5000 0.5000 0.5000
0.0000 0.0000 0.7002
0.0000 0.0000 0.2998
```

- Calculated volume: 95 Å³/cell
- Energy relative to the elements: 0.313 eV/atom

=====

24.
# BaZnHg2

A PBEsol-optimized structure of BaZnHg2 (SCAN, Alexandria).

Structure (POSCAR):
```
BaZnHg2
1.0
-2.2077 2.7869 -1.3745
1.4555 -0.9042 -4.1711
-3.6901 -5.5096 -0.0933
Zn Ba Hg
1 1 2
direct
0.7950 0.0000 0.4592
0.4243 0.5000 0.7276
0.0891 0.0000 0.0600
0.6916 0.5000 0.2532
```

- Calculated volume: 109 Å³/cell
- Energy relative to the elements: -0.290 eV/atom

=====

25.
# Rb3TiCr

A PBEsol-optimized structure of Rb3TiCr (SCAN, Alexandria).

Structure (POSCAR):
```
Rb3TiCr
1.0
-3.2861 -5.7653 -1.2176
5.5875 -2.6060 -2.7401
1.8712 -2.3430 6.0439
Rb Cr Ti
3 1 1
direct
0.0000 0.0000 0.5000
0.5000 0.0000 0.0000
0.0000 0.5000 0.0000
0.0000 0.0000 0.0000
0.5000 0.5000 0.5000
```

- Calculated volume: 307 Å³/cell
- Energy relative to the elements: 1.133 eV/atom

=====

26.
# TlP3

A PBEsol-optimized structure of TlP3 (SCAN, Alexandria).

Structure (POSCAR):
```
TlP3
1.0
4.6231 0.0000 0.0000
2.3115 4.0037 0.0000
2.3115 1.3346 3.7747
P Tl
3 1
direct
0.7500 0.7500 0.7500
0.2500 0.2500 0.2500
0.5000 0.5000 0.5000
0.0000 0.0000 0.0000
```

- Calculated volume: 70 Å³/cell
- Energy relative to the elements: 0.971 eV/atom

=====

27.
# NaTi2OsW

A PBEsol-optimized structure of NaTi2OsW (SCAN, Alexandria).

Structure (POSCAR):
```
NaTi2OsW
1.0
-1.4237 -1.3945 3.7008
-0.6529 -3.7964 -1.6817
4.2839 -1.2570 1.1744
Ti W Na Os
2 1 1 1
direct
0.5000 0.0000 0.0000
0.0000 0.5000 0.0000
0.5000 0.5000 0.5000
0.0000 0.0000 0.0000
0.0000 0.0000 0.5000
```

- Calculated volume: 82 Å³/cell
- Energy relative to the elements: 2.105 eV/atom

=====

28.
# La2Bi

A PBEsol-optimized structure of La2Bi (SCAN, Alexandria).

Structure (POSCAR):
```
La2Bi
1.0
-2.2965 -1.4852 -3.7235
2.6404 -3.7893 -0.1170
-6.1628 -1.7046 7.3469
La Bi
4 2
direct
0.0000 0.5000 0.0000
0.3205 0.3205 0.6409
0.5000 0.0000 0.0000
0.6795 0.6795 0.3591
0.8620 0.8620 0.7240
0.1380 0.1380 0.2760
```

- Calculated volume: 196 Å³/cell
- Energy relative to the elements: -0.889 eV/atom